TbTc2Os2 | PBE | relaxed

Cell: 5.5468 9.1051 3.7595 Å, 90.00 90.00 90.00°
Last column: nearest neighbours and their distance in Å.
Element x y z (fractional)
Tb 0.5000 0.5000 0.0000  6 Os 3.03-3.32, 8 Tc 3.26
Tb 0.0000 0.0000 0.0000  6 Os 3.03-3.32, 8 Tc 3.26
Tc 0.2381 0.7456 0.5000  4 Os 2.50-2.61, 2 Tc 2.77
Tc 0.7619 0.2544 0.5000  4 Os 2.50-2.61, 2 Tc 2.77
Tc 0.7381 0.7544 0.5000  4 Os 2.50-2.61, 2 Tc 2.77
Tc 0.2619 0.2456 0.5000  4 Os 2.50-2.61, 2 Tc 2.77
Os 0.0009 0.6358 0.0000  1 Os 2.47, 4 Tc 2.50-2.61
Os 0.5009 0.8642 0.0000  1 Os 2.47, 4 Tc 2.50-2.61
Os 0.4991 0.1358 0.0000  1 Os 2.47, 4 Tc 2.50-2.61
Os 0.9991 0.3642 0.0000  1 Os 2.47, 4 Tc 2.50-2.61

The energy of formation comes out at 338 meV/atom. As for the relative energy among the computed polymorphs: 0.371 eV per atom. As for the crystal system: orthorhombic.

TbThOs | PBE | relaxed

Cell: 4.8074 4.8074 4.8074 Å, 60.00 60.00 60.00°
Last column: nearest neighbours and their distance in Å.
Element x y z (fractional)
Tb 0.0000 0.0000 0.0000  4 Th 2.94
Os 0.5000 0.5000 0.5000  4 Th 2.94
Th 0.2500 0.2500 0.2500  4 Os 2.94, 4 Tb 2.94

The energy of formation comes out at 679 meV/atom. As for the crystal system: cubic.

Tb4TlOs | PBE | relaxed

Cell: 7.9040 7.9040 6.1744 Å, 99.63 99.63 112.49°
Last column: nearest neighbours and their distance in Å.
Element x y z (fractional)
Tb 0.9398 0.2768 0.5481  2 Os 2.84-2.86
Tb 0.7988 0.6493 0.8907  2 Os 2.92-2.98, 1 Tl 3.24
Tb 0.2768 0.9398 0.0481  2 Os 2.84-2.86
Tb 0.6493 0.7988 0.3907  2 Os 2.92-2.98, 1 Tl 3.24
Tb 0.7232 0.0602 0.9519  2 Os 2.84-2.86
Tb 0.2012 0.3507 0.1093  2 Os 2.92-2.98, 1 Tl 3.24
Tb 0.3507 0.2012 0.6093  2 Os 2.92-2.98, 1 Tl 3.24
Tb 0.0602 0.7232 0.4519  2 Os 2.84-2.86
Os 0.9998 0.0002 0.7500  8 Tb 2.84-2.98, 2 Os 3.09
Os 0.0002 0.9998 0.2500  8 Tb 2.84-2.98, 2 Os 3.09
Tl 0.6247 0.3753 0.2500  8 Tb 3.24-3.44
Tl 0.3753 0.6247 0.7500  8 Tb 3.24-3.44

As for the crystal system: monoclinic. As for the total energy: -5.65 eV per atom.

TbTl2Os2 | PBE | relaxed

Cell: 6.8436 6.8436 6.8436 Å, 144.60 144.60 50.94°
Last column: nearest neighbours and their distance in Å.
Element x y z (fractional)
Tl 0.3895 0.3895 0.0000  4 Os 2.70, 1 Tl 2.73
Tl 0.6105 0.6105 0.0000  4 Os 2.70, 1 Tl 2.73
Tb 0.0000 0.0000 0.0000  8 Tl 3.24
Os 0.2500 0.7500 0.5000  4 Tl 2.70, 4 Os 2.94
Os 0.7500 0.2500 0.5000  4 Tl 2.70, 4 Os 2.94

As for the crystal system: tetragonal. As for the total energy: -5.63 eV per atom.

TbUOs | PBE | relaxed

Cell: 4.7469 4.7469 4.7469 Å, 60.00 60.00 60.00°
Last column: nearest neighbours and their distance in Å.
Element x y z (fractional)
Os 0.0000 0.0000 0.0000  4 U 2.91, 4 Tb 2.91
Tb 0.2500 0.2500 0.2500  4 Os 2.91
U 0.7500 0.7500 0.7500  4 Os 2.91

The energy of formation comes out at 199 meV/atom. As for the relative energy among the computed polymorphs: 0.000 eV per atom. As for the crystal system: cubic.

TbOsW | PBE | relaxed

Cell: 4.4634 4.4634 4.4634 Å, 60.00 60.00 60.00°
Last column: nearest neighbours and their distance in Å.
Element x y z (fractional)
W 0.0000 0.0000 0.0000  4 Tb 2.73, 4 Os 2.73
Os 0.2500 0.2500 0.2500  4 W 2.73
Tb 0.7500 0.7500 0.7500  4 W 2.73

The energy of formation comes out at 701 meV/atom. As for the crystal system: cubic.

TbOs2W2 | PBE | relaxed

Cell: 6.1440 6.1440 6.1440 Å, 139.00 139.00 59.38°
Last column: nearest neighbours and their distance in Å.
Element x y z (fractional)
Os 0.7500 0.2500 0.5000  4 W 2.54
Os 0.2500 0.7500 0.5000  4 W 2.54
W 0.6244 0.6244 0.0000  4 Os 2.54, 1 W 2.66
W 0.3756 0.3756 0.0000  4 Os 2.54, 1 W 2.66
Tb 0.0000 0.0000 0.0000  8 W 3.32, 8 Os 3.43

The energy of formation comes out at 193 meV/atom. As for the relative energy among the computed polymorphs: 0.253 eV per atom. As for the crystal system: tetragonal.

TbOs2W2 | PBE | relaxed

Cell: 4.3227 4.3227 6.0862 Å, 110.80 110.80 90.00°
Last column: nearest neighbours and their distance in Å.
Element x y z (fractional)
Os 0.6228 0.6228 0.2457  4 W 2.54, 1 Os 2.59
Os 0.3772 0.3772 0.7543  4 W 2.54, 1 Os 2.59
Tb 0.0000 0.0000 0.0000  8 Os 3.32, 8 W 3.41
W 0.2500 0.7500 0.5000  4 Os 2.54
W 0.7500 0.2500 0.5000  4 Os 2.54

The energy of formation comes out at -60 meV/atom. As for the relative energy among the computed polymorphs: 0.000 eV per atom. As for the crystal system: tetragonal.

TbZnOs | PBE | relaxed

Cell: 4.5175 4.5175 4.5175 Å, 60.00 60.00 60.00°
Last column: nearest neighbours and their distance in Å.
Element x y z (fractional)
Zn 0.7500 0.7500 0.7500  4 Os 2.77
Os 0.0000 0.0000 0.0000  4 Tb 2.77, 4 Zn 2.77
Tb 0.2500 0.2500 0.2500  4 Os 2.77

The energy of formation comes out at 262 meV/atom. As for the crystal system: cubic.

TbZrOs | PBE | relaxed

Cell: 4.6009 4.6009 4.6009 Å, 60.00 60.00 60.00°
Last column: nearest neighbours and their distance in Å.
Element x y z (fractional)
Zr 0.0000 0.0000 0.0000  4 Tb 2.82, 4 Os 2.82
Tb 0.7500 0.7500 0.7500  4 Zr 2.82
Os 0.2500 0.2500 0.2500  4 Zr 2.82

The energy of formation comes out at 500 meV/atom. As for the crystal system: cubic.

TcTe2Os | PBE | relaxed

Cell: 4.7730 4.7730 4.7730 Å, 60.00 60.00 60.00°
Last column: nearest neighbours and their distance in Å.
Element x y z (fractional)
Tc 0.2500 0.2500 0.2500  4 Os 2.92, 4 Te 2.92
Te 0.5000 0.5000 0.5000  4 Tc 2.92, 4 Te 2.92
Te 0.7500 0.7500 0.7500  4 Te 2.92, 4 Os 2.92
Os 0.0000 0.0000 0.0000  4 Tc 2.92, 4 Te 2.92

As for the crystal system: cubic. As for the total energy: -5.77 eV per atom.

ThTcOs | PBE | relaxed

Cell: 4.5691 4.5691 4.5691 Å, 60.00 60.00 60.00°
Last column: nearest neighbours and their distance in Å.
Element x y z (fractional)
Th 0.7500 0.7500 0.7500  4 Os 2.80
Tc 0.2500 0.2500 0.2500  4 Os 2.80
Os 0.0000 0.0000 0.0000  4 Th 2.80, 4 Tc 2.80

The energy of formation comes out at 457 meV/atom. As for the crystal system: cubic.